Entry 1:
{
  "formula": "Cu2HgIr",
  "functional": "GGA-PBE",
  "state": "relaxed",
  "cell": [[3.717, 0.000, 0.000], [0.000, 2.830, 0.029], [0.000, 2.796, 5.735]],
  "species": ["Cu", "Cu", "Hg", "Ir"],
  "fractional_positions": [[0.000, 0.031, 0.970], [0.000, 0.469, 0.530], [0.500, 0.250, 0.250], [0.500, 0.750, 0.750]],
  "space_group": "P2/m, No. 10",
  "crystal_system": "monoclinic",
  "polymorph_energy_mev_per_atom": 7
}

***

Entry 2:
{
  "formula": "CuHgIr",
  "functional": "GGA-PBE",
  "state": "relaxed",
  "cell": [[-1.538, -4.462, 3.364], [1.838, -5.388, 1.064], [1.089, 5.647, -0.686]],
  "species": ["Cu", "Hg", "Ir"],
  "fractional_positions": [[0.011, 0.010, 0.000], [0.338, 0.338, 0.000], [0.651, 0.652, 0.000]],
  "space_group": "Cm, No. 8",
  "crystal_system": "monoclinic",
  "polymorph_energy_mev_per_atom": 2
}

***

Entry 3:
{
  "formula": "CuHg2Ir",
  "functional": "GGA-PBE",
  "state": "relaxed",
  "cell": [[-4.549, 1.171, 0.870], [-3.554, -0.679, 3.120], [0.567, 4.089, 3.112]],
  "species": ["Cu", "Hg", "Hg", "Ir"],
  "fractional_positions": [[0.750, 0.750, 0.750], [0.002, 0.002, 0.996], [0.498, 0.498, 0.504], [0.250, 0.250, 0.250]],
  "space_group": "C2/m, No. 12",
  "crystal_system": "monoclinic",
  "polymorph_energy_mev_per_atom": 102
}

***

Entry 4:
{
  "formula": "CuHg4Ir",
  "functional": "GGA-PBE",
  "state": "relaxed",
  "cell": [[-4.603, -3.136, -0.709], [-4.162, 0.232, 3.762], [-4.875, 2.435, -1.353]],
  "species": ["Cu", "Hg", "Hg", "Hg", "Hg", "Ir"],
  "fractional_positions": [[0.000, 0.000, 0.000], [0.375, 0.875, 0.375], [0.875, 0.375, 0.375], [0.375, 0.375, 0.875], [0.375, 0.375, 0.375], [0.750, 0.750, 0.750]],
  "space_group": "F-43m, No. 216",
  "crystal_system": "cubic"
}

***

Entry 5:
{
  "formula": "Cu2HgIr",
  "functional": "GGA-PBE",
  "state": "relaxed",
  "cell": [[-2.286, 1.677, -3.376], [-1.523, -2.660, -3.168], [-4.327, -0.777, -0.334]],
  "species": ["Cu", "Cu", "Hg", "Ir"],
  "fractional_positions": [[0.000, 0.000, 0.000], [0.250, 0.250, 0.250], [0.500, 0.500, 0.500], [0.750, 0.750, 0.750]],
  "space_group": "F-43m, No. 216",
  "crystal_system": "cubic",
  "polymorph_energy_mev_per_atom": 112
}

***

Entry 6:
{
  "formula": "CuHg2Ir",
  "functional": "GGA-PBE",
  "state": "relaxed",
  "cell": [[-1.004, 4.009, 2.941], [1.619, -0.782, 4.743], [2.243, -0.473, -4.525]],
  "species": ["Cu", "Hg", "Hg", "Ir"],
  "fractional_positions": [[0.750, 0.250, 0.500], [0.000, 0.000, 0.000], [0.250, 0.750, 0.500], [0.500, 0.500, 0.000]],
  "space_group": "I-4m2, No. 119",
  "crystal_system": "tetragonal",
  "polymorph_energy_mev_per_atom": 81
}

***

Entry 7:
{
  "formula": "CuHg2Ir",
  "functional": "GGA-PBE",
  "state": "relaxed",
  "cell": [[-2.998, -5.820, -1.155], [3.497, 0.513, 3.249], [-1.883, -1.140, 2.192]],
  "species": ["Cu", "Hg", "Hg", "Ir"],
  "fractional_positions": [[0.500, 0.500, 0.000], [0.000, 0.000, 0.000], [0.500, 0.000, 0.500], [0.000, 0.500, 0.500]],
  "space_group": "C2/m, No. 12",
  "crystal_system": "monoclinic",
  "polymorph_energy_mev_per_atom": 21
}

***

Entry 8:
{
  "formula": "Cu2HgIr",
  "functional": "GGA-PBE",
  "state": "relaxed",
  "cell": [[-0.373, 4.353, -1.330], [-4.164, -1.732, -0.721], [-0.784, 0.760, 2.707]],
  "species": ["Cu", "Cu", "Hg", "Ir"],
  "fractional_positions": [[0.000, 0.000, 0.000], [0.500, 0.500, 0.000], [0.500, 0.000, 0.500], [0.000, 0.500, 0.500]],
  "space_group": "Cmmm, No. 65",
  "crystal_system": "orthorhombic",
  "polymorph_energy_mev_per_atom": 7
}

***

Entry 9:
{
  "formula": "Cu2HgIr",
  "functional": "GGA-PBE",
  "state": "relaxed",
  "cell": [[-2.359, -3.473, -1.851], [3.297, -2.415, -2.086], [-0.081, 1.401, 4.368]],
  "species": ["Cu", "Cu", "Hg", "Ir"],
  "fractional_positions": [[0.000, 0.000, 0.000], [0.500, 0.500, 0.000], [0.250, 0.750, 0.500], [0.750, 0.250, 0.500]],
  "space_group": "I4/mmm, No. 139",
  "crystal_system": "tetragonal",
  "polymorph_energy_mev_per_atom": 39
}

***

Entry 10:
{
  "formula": "CuHg2Ir",
  "functional": "GGA-PBE",
  "state": "relaxed",
  "cell": [[3.109, 0.000, 0.000], [0.000, 3.109, 0.000], [0.000, 0.000, 7.083]],
  "species": ["Cu", "Hg", "Hg", "Ir"],
  "fractional_positions": [[0.500, 0.500, 0.750], [0.000, 0.000, 0.991], [0.000, 0.000, 0.509], [0.500, 0.500, 0.250]],
  "space_group": "P4/mmm, No. 123",
  "crystal_system": "tetragonal",
  "polymorph_energy_mev_per_atom": 66
}

***

Entry 11:
{
  "formula": "CuHgIr2",
  "functional": "GGA-PBE",
  "state": "relaxed",
  "cell": [[-0.750, 4.045, -2.252], [-0.503, -1.401, -2.349], [-4.698, -0.298, 1.029]],
  "species": ["Cu", "Hg", "Ir", "Ir"],
  "fractional_positions": [[0.500, 0.250, 0.250], [0.500, 0.750, 0.750], [0.000, 0.013, 0.019], [0.000, 0.487, 0.481]],
  "space_group": "P2/m, No. 10",
  "crystal_system": "monoclinic",
  "polymorph_energy_mev_per_atom": 139
}

***

Entry 12:
{
  "formula": "CuHgIr2",
  "functional": "GGA-PBE",
  "state": "relaxed",
  "cell": [[4.131, 0.000, 0.000], [0.000, 3.887, 0.000], [0.000, 0.000, 3.887]],
  "species": ["Cu", "Hg", "Ir", "Ir"],
  "fractional_positions": [[0.500, 0.500, 0.000], [0.500, 0.000, 0.500], [0.000, 0.000, 0.000], [0.000, 0.500, 0.500]],
  "space_group": "P4/mmm, No. 123",
  "crystal_system": "tetragonal",
  "polymorph_energy_mev_per_atom": 271
}

***

| no. | DFT formation energy (eV per atom) | total moment (μB per atom) | DFT total energy (eV per atom) |
| --- | --- | --- | --- |
| 1 | 0.25 | 0.00 | -4.0925 |
| 2 | 0.37 | 0.00 | -4.0507 |
| 3 | 0.44 | 0.00 | -2.9477 |
| 4 | 0.84 | 0.00 | -1.5182 |
| 5 | 0.35 | 0.00 | -3.9877 |
| 6 | 0.42 | 0.00 | -2.9695 |
| 7 | 0.36 | 0.00 | -3.0292 |
| 8 | 0.25 | 0.00 | -4.0926 |
| 9 | 0.28 | 0.00 | -4.0599 |
| 10 | 0.41 | 0.00 | -2.9839 |
| 11 | 0.38 | 0.00 | -5.1515 |
| 12 | 0.51 | 0.16 | -5.0196 |